# 1
! LiMnCl2 | Alexandria via LeMat-Bulk | PBEsol | optimized geometry; values from VASP
! Calculated density ... 2.98 g/cm3
! Formation energy (no corrections) ... -686.5 meV/atom
! SG ... Pmmm (47)
&SYSTEM
  ibrav = 0, nat = 4, ntyp = 3
/
ATOMIC_SPECIES
Li 6.94 Li.upf
Cl 35.45 Cl.upf
Mn 54.94 Mn.upf
ATOMIC_POSITIONS crystal
Li 0.500 0.500 0.000
Cl 0.000 0.000 0.000
Cl 0.500 0.000 0.500
Mn 0.000 0.500 0.500
CELL_PARAMETERS angstrom
-2.161 0.823 -2.554
-1.458 -3.125 0.227
-4.073 2.201 4.155

# 2
! BaSbAu | Alexandria via LeMat-Bulk | PBEsol | optimized geometry; values from VASP
! Calculated density ... 8.47 g/cm3
! Formation energy (no corrections) ... -258.8 meV/atom
! SG ... P6_3/mmc (194)
&SYSTEM
  ibrav = 0, nat = 6, ntyp = 3
/
ATOMIC_SPECIES
Sb 121.76 Sb.upf
Au 196.97 Au.upf
Ba 137.33 Ba.upf
ATOMIC_POSITIONS crystal
Sb 0.333 0.667 0.750
Sb 0.667 0.333 0.250
Au 0.000 0.000 0.500
Au 0.000 0.000 0.000
Ba 0.667 0.333 0.750
Ba 0.333 0.667 0.250
CELL_PARAMETERS angstrom
5.537 0.000 0.000
-2.769 4.795 0.000
0.000 0.000 6.732

# 3
! MnPtAu2 | Alexandria via LeMat-Bulk | PBEsol | optimized geometry; values from VASP
! Calculated density ... 17.03 g/cm3
! ΔH_f (0 K) ... -0.43 kcal/mol of atoms
! SG ... C2/m (12)
&SYSTEM
  ibrav = 0, nat = 4, ntyp = 3
/
ATOMIC_SPECIES
Pt 195.08 Pt.upf
Au 196.97 Au.upf
Mn 54.94 Mn.upf
ATOMIC_POSITIONS crystal
Pt 0.000 0.500 0.000
Au 0.246 0.246 0.491
Au 0.754 0.754 0.509
Mn 0.500 0.000 0.000
CELL_PARAMETERS angstrom
-2.894 0.485 -0.136
-0.420 -3.406 -3.215
0.871 -2.554 4.069

# 4
! LiRh3 | Alexandria via LeMat-Bulk | PBEsol | optimized geometry; values from VASP
! Calculated density ... 10.07 g/cm3
! ΔH_f (0 K) ... -2.27 kcal/mol of atoms
! SG ... Imm2 (44)
&SYSTEM
  ibrav = 0, nat = 4, ntyp = 2
/
ATOMIC_SPECIES
Li 6.94 Li.upf
Rh 102.91 Rh.upf
ATOMIC_POSITIONS crystal
Li 0.000 0.988 0.000
Rh 0.756 0.061 0.511
Rh 0.244 0.550 0.489
Rh 0.500 0.497 0.000
CELL_PARAMETERS angstrom
-0.167 -1.370 2.244
0.999 -3.889 -2.300
3.744 3.280 0.735